LaGd2Hg: optimized geometry, PBE.

Computed properties:
excess energy over the best structure of this formula in the dataset: 0 meV per atom

Structure (POSCAR):
```
LaGd2Hg
1.0
-1.841 2.431 -2.112
-3.217 -1.280 1.332
0.346 5.981 6.581
Gd Hg La
2 1 1
direct
0.000 0.000 0.786 Gd
0.000 0.000 0.214 Gd
0.500 0.500 0.000 Hg
0.500 0.500 0.500 La
```

***

PmPr6Y2: optimized geometry, PBE.

Computed properties:
excess energy over the best structure of this formula in the dataset: 87 meV per atom

Structure (POSCAR):
```
PmPr6Y2
1.0
-1.865 6.070 -0.172
-1.942 -0.382 7.360
5.107 1.728 5.387
Pm Pr Y
1 6 2
direct
0.000 0.000 0.000 Pm
0.292 0.376 0.812 Pr
0.291 0.812 0.812 Pr
0.292 0.812 0.376 Pr
0.708 0.624 0.188 Pr
0.709 0.188 0.188 Pr
0.708 0.188 0.624 Pr
0.788 0.666 0.666 Y
0.212 0.334 0.334 Y
```

***

Number 1: final energy -8.60 eV per atom. Number 2: final energy -4.95 eV per atom.